AlBPI2, relaxed, DFT PBE; ΔE_f (raw) = 5.37 eV/f.u.; space-group type = P4/mmm, No. 123
1.0
-3.4534 3.7051 2.4136
-2.1879 -3.0832 1.6026
3.2583 0.0618 4.5672
P I B Al
1 2 1 1
Cartesian
-1.1915 0.3418 4.2917 P
1.6292 0.0309 2.2836 I
-1.7267 1.8526 1.2068 I
-1.0940 -1.5416 0.8013 B
0.0000 0.0000 0.0000 Al

Tl2SnSb, relaxed, DFT PBE; ΔE_f (raw) = 0.31 eV/f.u.; polymorph energy (0 for the lowest one) = 35 meV/atom; space-group type = P4/mmm, No. 123
1.0
3.4423 0.0000 0.0000
0.0000 3.4423 0.0000
0.0000 0.0000 9.9385
Sn Sb Tl
1 1 2
Cartesian
1.7211 1.7211 0.0000 Sn
1.7211 1.7211 4.9692 Sb
0.0000 0.0000 2.4699 Tl
0.0000 0.0000 7.4686 Tl

N(E_F) across the listed records, respectively: 4.3, 2.1 states/eV/cell.